(1)
Entry from Alexandria via LeMat-Bulk: a geometry-optimized PaFeSnRu structure (GGA-PBE).

Results
* total energy: -8.0184 eV/atom
* density: 11583 kg/m³
* magnetization: 4.47 Bohr magnetons per cell

The structure in CIF format:
```
data_PaFeSnRu
_chemical_formula_sum 'Pa4 Fe4 Sn4 Ru4'
_cell_length_a 6.623
_cell_length_b 6.623
_cell_length_c 6.623
_cell_angle_alpha 90.00
_cell_angle_beta 90.00
_cell_angle_gamma 90.00
_symmetry_space_group_name_H-M 'F -4 3 m'
_symmetry_Int_Tables_number 216
_symmetry_space_group_name_Hall 'F -4 2 3'
loop_
_atom_site_label
_atom_site_type_symbol
_atom_site_fract_x
_atom_site_fract_y
_atom_site_fract_z
Pa1 Pa 0.000 0.000 0.000
Fe1 Fe 0.250 0.250 0.250
Sn1 Sn 0.000 0.000 0.500
Ru1 Ru 0.250 0.250 0.750
```

***

(2)
Entry from Alexandria via LeMat-Bulk: a geometry-optimized TbPaFeRu structure (GGA-PBE).

Results
* total energy: -8.0998 eV/atom
* density: 11621 kg/m³
* magnetization: 2.56 Bohr magnetons per cell

The structure in CIF format:
```
data_TbPaFeRu
_chemical_formula_sum 'Tb4 Pa4 Fe4 Ru4'
_cell_length_a 6.787
_cell_length_b 6.787
_cell_length_c 6.787
_cell_angle_alpha 90.00
_cell_angle_beta 90.00
_cell_angle_gamma 90.00
_symmetry_space_group_name_H-M 'F -4 3 m'
_symmetry_Int_Tables_number 216
_symmetry_space_group_name_Hall 'F -4 2 3'
loop_
_atom_site_label
_atom_site_type_symbol
_atom_site_fract_x
_atom_site_fract_y
_atom_site_fract_z
Tb1 Tb 0.000 0.000 0.000
Pa1 Pa 0.000 0.000 0.500
Fe1 Fe 0.250 0.250 0.250
Ru1 Ru 0.250 0.250 0.750
```

***

(3)
Entry from Alexandria via LeMat-Bulk: a geometry-optimized PaFeTcRu structure (GGA-PBE).

Results
* total energy: -9.4519 eV/atom
* density: 12078 kg/m³
* magnetization: 16.05 Bohr magnetons per cell

The structure in CIF format:
```
data_PaFeTcRu
_chemical_formula_sum 'Pa4 Fe4 Tc4 Ru4'
_cell_length_a 6.441
_cell_length_b 6.441
_cell_length_c 6.441
_cell_angle_alpha 90.00
_cell_angle_beta 90.00
_cell_angle_gamma 90.00
_symmetry_space_group_name_H-M 'F -4 3 m'
_symmetry_Int_Tables_number 216
_symmetry_space_group_name_Hall 'F -4 2 3'
loop_
_atom_site_label
_atom_site_type_symbol
_atom_site_fract_x
_atom_site_fract_y
_atom_site_fract_z
Pa1 Pa 0.000 0.000 0.000
Fe1 Fe 0.000 0.000 0.500
Tc1 Tc 0.250 0.250 0.750
Ru1 Ru 0.250 0.250 0.250
```

***

(4)
Entry from Alexandria via LeMat-Bulk: a geometry-optimized TmPaFeRu structure (GGA-PBE).

Results
* total energy: -8.1401 eV/atom
* density: 12128 kg/m³
* magnetization: 2.56 Bohr magnetons per cell

The structure in CIF format:
```
data_TmPaFeRu
_chemical_formula_sum 'Tm4 Pa4 Fe4 Ru4'
_cell_length_a 6.731
_cell_length_b 6.731
_cell_length_c 6.731
_cell_angle_alpha 90.00
_cell_angle_beta 90.00
_cell_angle_gamma 90.00
_symmetry_space_group_name_H-M 'F -4 3 m'
_symmetry_Int_Tables_number 216
_symmetry_space_group_name_Hall 'F -4 2 3'
loop_
_atom_site_label
_atom_site_type_symbol
_atom_site_fract_x
_atom_site_fract_y
_atom_site_fract_z
Tm1 Tm 0.000 0.000 0.000
Pa1 Pa 0.000 0.000 0.500
Fe1 Fe 0.250 0.250 0.750
Ru1 Ru 0.250 0.250 0.250
```

***

(5)
Entry from Alexandria via LeMat-Bulk: a geometry-optimized YPaFeRu structure (GGA-PBE).

Results
* total energy: -8.5621 eV/atom
* density: 10136 kg/m³
* magnetization: 2.61 Bohr magnetons per cell

The structure in CIF format:
```
data_YPaFeRu
_chemical_formula_sum 'Y4 Pa4 Fe4 Ru4'
_cell_length_a 6.786
_cell_length_b 6.786
_cell_length_c 6.786
_cell_angle_alpha 90.00
_cell_angle_beta 90.00
_cell_angle_gamma 90.00
_symmetry_space_group_name_H-M 'F -4 3 m'
_symmetry_Int_Tables_number 216
_symmetry_space_group_name_Hall 'F -4 2 3'
loop_
_atom_site_label
_atom_site_type_symbol
_atom_site_fract_x
_atom_site_fract_y
_atom_site_fract_z
Y1 Y 0.000 0.000 0.000
Pa1 Pa 0.000 0.000 0.500
Fe1 Fe 0.250 0.250 0.250
Ru1 Ru 0.250 0.250 0.750
```

***

(6)
Entry from Alexandria via LeMat-Bulk: a geometry-optimized PaZnFeRu structure (GGA-PBE).

Results
* total energy: -7.3119 eV/atom
* density: 11668 kg/m³
* magnetization: 0.00 Bohr magnetons per cell

The structure in CIF format:
```
data_PaZnFeRu
_chemical_formula_sum 'Pa4 Zn4 Fe4 Ru4'
_cell_length_a 6.367
_cell_length_b 6.367
_cell_length_c 6.367
_cell_angle_alpha 90.00
_cell_angle_beta 90.00
_cell_angle_gamma 90.00
_symmetry_space_group_name_H-M 'F -4 3 m'
_symmetry_Int_Tables_number 216
_symmetry_space_group_name_Hall 'F -4 2 3'
loop_
_atom_site_label
_atom_site_type_symbol
_atom_site_fract_x
_atom_site_fract_y
_atom_site_fract_z
Pa1 Pa 0.000 0.000 0.000
Zn1 Zn 0.000 0.000 0.500
Fe1 Fe 0.250 0.250 0.250
Ru1 Ru 0.250 0.250 0.750
```

***

(7)
Entry from Alexandria via LeMat-Bulk: a geometry-optimized ZrPaFeRu structure (GGA-PBE).

Results
* total energy: -9.1595 eV/atom
* density: 10876 kg/m³
* magnetization: 3.29 Bohr magnetons per cell

The structure in CIF format:
```
data_ZrPaFeRu
_chemical_formula_sum 'Zr4 Pa4 Fe4 Ru4'
_cell_length_a 6.639
_cell_length_b 6.639
_cell_length_c 6.639
_cell_angle_alpha 90.00
_cell_angle_beta 90.00
_cell_angle_gamma 90.00
_symmetry_space_group_name_H-M 'F -4 3 m'
_symmetry_Int_Tables_number 216
_symmetry_space_group_name_Hall 'F -4 2 3'
loop_
_atom_site_label
_atom_site_type_symbol
_atom_site_fract_x
_atom_site_fract_y
_atom_site_fract_z
Zr1 Zr 0.000 0.000 0.000
Pa1 Pa 0.000 0.000 0.500
Fe1 Fe 0.250 0.250 0.250
Ru1 Ru 0.250 0.250 0.750
```

***

(8)
Entry from Alexandria via LeMat-Bulk: a geometry-optimized Pa6FeS12 structure (GGA-PBE).

Results
* raw formation energy: -1.418 eV per atom
* density: 6902 kg/m³
* magnetization: 29.40 Bohr magnetons per cell

The structure in CIF format:
```
data_Pa6FeS12
_chemical_formula_sum 'Pa18 Fe3 S36'
_cell_length_a 11.8452
_cell_length_b 11.8452
_cell_length_c 10.8515
_cell_angle_alpha 90.00
_cell_angle_beta 90.00
_cell_angle_gamma 120.00
_symmetry_space_group_name_H-M 'R -3'
_symmetry_Int_Tables_number 148
_symmetry_space_group_name_Hall '-R 3'
loop_
_atom_site_label
_atom_site_type_symbol
_atom_site_fract_x
_atom_site_fract_y
_atom_site_fract_z
Pa1 Pa 0.0560 0.6092 0.3180
Fe1 Fe 0.0000 0.0000 0.0000
S1 S 0.0376 0.8221 0.3942
S2 S 0.0481 0.8513 0.8867
```

***

(9)
Entry from Alexandria via LeMat-Bulk: a geometry-optimized PaFeS4 structure (GGA-PBE).

Results
* raw formation energy: -0.839 eV per atom
* density: 5757 kg/m³
* magnetization: 4.75 Bohr magnetons per cell

The structure in CIF format:
```
data_PaFeS4
_chemical_formula_sum 'Pa2 Fe2 S8'
_cell_length_a 6.330
_cell_length_b 6.212
_cell_length_c 6.218
_cell_angle_alpha 90.00
_cell_angle_beta 101.64
_cell_angle_gamma 90.00
_symmetry_space_group_name_H-M 'P 1 21/c 1'
_symmetry_Int_Tables_number 14
loop_
_symmetry_equiv_pos_as_xyz
'x,y,z'
'-x,-y,-z'
'-x,y+1/2,-z+1/2'
'x,-y+1/2,z+1/2'
loop_
_atom_site_label
_atom_site_type_symbol
_atom_site_fract_x
_atom_site_fract_y
_atom_site_fract_z
Pa1 Pa 0.000 0.000 0.000
Fe1 Fe 0.500 0.000 0.500
S1 S 0.198 0.170 0.386
S2 S 0.320 0.720 0.264
```

***

(10)
Entry from Alexandria via LeMat-Bulk: a geometry-optimized Pa3Fe5S12 structure (GGA-PBE).

Results
* raw formation energy: -0.919 eV per atom
* density: 6041 kg/m³
* magnetization: 87.41 Bohr magnetons per cell

The structure in CIF format:
```
data_Pa3Fe5S12
_chemical_formula_sum 'Pa24 Fe40 S96'
_cell_length_a 14.398
_cell_length_b 14.398
_cell_length_c 14.398
_cell_angle_alpha 90.00
_cell_angle_beta 90.00
_cell_angle_gamma 90.00
_symmetry_space_group_name_H-M 'I a -3 d'
_symmetry_Int_Tables_number 230
_symmetry_space_group_name_Hall '-I 4bd 2c 3'
loop_
_atom_site_label
_atom_site_type_symbol
_atom_site_fract_x
_atom_site_fract_y
_atom_site_fract_z
Pa1 Pa 0.000 0.250 0.125
Fe1 Fe 0.000 0.000 0.000
Fe2 Fe 0.000 0.250 0.375
S1 S 0.029 0.058 0.646
```

***

(11)
Entry from Alexandria via LeMat-Bulk: a geometry-optimized Pa2FeS4 structure (GGA-PBE).

Results
* raw formation energy: -1.342 eV per atom
* density: 8332 kg/m³
* magnetization: 0.00 Bohr magnetons per cell

The structure in CIF format:
```
data_Pa2FeS4
_chemical_formula_sum 'Pa4 Fe2 S8'
_cell_length_a 6.286
_cell_length_b 5.730
_cell_length_c 7.487
_cell_angle_alpha 90.00
_cell_angle_beta 107.24
_cell_angle_gamma 90.00
_symmetry_space_group_name_H-M 'P 1 21/m 1'
_symmetry_Int_Tables_number 11
loop_
_symmetry_equiv_pos_as_xyz
'x,y,z'
'-x,-y,-z'
'-x,y+1/2,-z'
'x,-y+1/2,z'
loop_
_atom_site_label
_atom_site_type_symbol
_atom_site_fract_x
_atom_site_fract_y
_atom_site_fract_z
Pa1 Pa 0.238 0.250 0.056
Pa2 Pa 0.258 0.250 0.568
Fe1 Fe 0.240 0.750 0.811
S1 S 0.019 0.509 0.260
S2 S 0.420 0.750 0.103
S3 S 0.429 0.750 0.612
```

***

(12)
Entry from Alexandria via LeMat-Bulk: a geometry-optimized Pa4FeSeS2 structure (GGA-PBE).

Results
* raw formation energy: -1.095 eV per atom
* density: 10711 kg/m³
* magnetization: 0.00 Bohr magnetons per cell

The structure in CIF format:
```
data_Pa4FeSeS2
_chemical_formula_sum 'Pa4 Fe1 Se1 S2'
_cell_length_a 6.905
_cell_length_b 3.770
_cell_length_c 7.054
_cell_angle_alpha 90.00
_cell_angle_beta 108.49
_cell_angle_gamma 90.00
_symmetry_space_group_name_H-M 'P 1 2/m 1'
_symmetry_Int_Tables_number 10
loop_
_symmetry_equiv_pos_as_xyz
'x,y,z'
'-x,-y,-z'
'-x,y,-z'
'x,-y,z'
loop_
_atom_site_label
_atom_site_type_symbol
_atom_site_fract_x
_atom_site_fract_y
_atom_site_fract_z
Pa1 Pa 0.231 0.000 0.218
Pa2 Pa 0.260 0.500 0.767
Fe1 Fe 0.000 0.500 0.000
Se1 Se 0.000 0.000 0.500
S1 S 0.500 0.000 0.000
S2 S 0.500 0.500 0.500
```